Material: NaPm2Cd
Method: DFT, PBE
State: optimized geometry

Geometry as POSCAR:
```
NaPm2Cd
1.0
-0.426 3.224 1.356
-1.305 0.386 3.250
10.851 0.760 6.178
Pm Na Cd
2 1 1
direct
0.097 0.097 0.709
0.903 0.903 0.291
0.000 0.000 0.000
0.500 0.500 0.500
```

## Properties
* SG: R-3m
* final energy: -0.105 Ha/atom